The following is a PBE calculation of a geometry-optimized Pb5Cl3 structure, from Alexandria via LeMat-Bulk.

Summary:
* space group: No. 65
* D(E_F): 0.26 states/eV/atom
* raw total energy: -3.38 eV per atom
* offset from the most stable computed form: 0 meV/atom
* formation energy without anion corrections: -35 kJ/mol of atoms

```
Pb5Cl3
1.0
3.933 -5.423 0.000
3.933 5.423 0.000
0.000 0.000 5.377
Pb Cl
5 3
direct
0.000 0.000 0.000
0.000 0.500 0.000
0.237 0.237 0.500
0.500 0.000 0.000
0.763 0.763 0.500
0.274 0.726 0.500
0.500 0.500 0.000
0.726 0.274 0.500
```



The following is a PBE calculation of a geometry-optimized Sm2HoTm2Mg5 structure, from Alexandria via LeMat-Bulk.

Summary:
* space group: No. 127
* D(E_F): 0.67 states/eV/atom
* formation enthalpy at 0 K: 49 meV per atom
* raw total energy: -3.04 eV per atom

```
Sm2HoTm2Mg5
1.0
10.563 0.000 0.000
0.000 10.563 0.000
0.000 0.000 5.050
Sm Ho Tm Mg
4 2 4 10
direct
0.178 0.322 0.000
0.322 0.822 0.000
0.678 0.178 0.000
0.822 0.678 0.000
0.000 0.000 0.000
0.500 0.500 0.000
0.119 0.619 0.000
0.381 0.119 0.000
0.619 0.881 0.000
0.881 0.381 0.000
0.000 0.500 0.500
0.069 0.801 0.500
0.199 0.069 0.500
0.301 0.569 0.500
0.431 0.301 0.500
0.500 0.000 0.500
0.569 0.699 0.500
0.699 0.431 0.500
0.801 0.931 0.500
0.931 0.199 0.500
```



The following is a PBE calculation of a geometry-optimized KPH2 structure, from Alexandria via LeMat-Bulk.

Summary:
* space group: No. 8
* D(E_F): 0.00 states/eV/atom
* raw total energy: -3.59 eV per atom
* offset from the most stable computed form: 0 meV/atom

```
KPH2
1.0
4.104 -2.686 0.000
4.104 2.686 0.000
-2.252 0.000 3.701
K P H
1 1 2
direct
0.000 0.000 0.000
0.476 0.476 0.477
0.616 0.616 0.857
0.621 0.621 0.384
```



The following is a PBE calculation of a geometry-optimized Sm2ErSc5 structure, from Alexandria via LeMat-Bulk.

Summary:
* space group: No. 55
* D(E_F): 1.83 states/eV/atom
* formation enthalpy at 0 K: 61 meV per atom
* raw total energy: -5.65 eV per atom

```
Sm2ErSc5
1.0
6.731 0.000 0.000
0.000 13.464 0.000
0.000 0.000 4.827
Sm Er Sc
4 2 10
direct
0.241 0.127 0.000
0.259 0.627 0.000
0.741 0.373 0.000
0.759 0.873 0.000
0.000 0.500 0.500
0.500 0.000 0.500
0.000 0.000 0.500
0.010 0.752 0.500
0.244 0.374 0.000
0.256 0.874 0.000
0.490 0.252 0.500
0.500 0.500 0.500
0.510 0.748 0.500
0.744 0.126 0.000
0.756 0.626 0.000
0.990 0.248 0.500
```



The following is a PBE calculation of a geometry-optimized Cd3Si structure, from Alexandria via LeMat-Bulk.

Summary:
* space group: No. 194
* D(E_F): 0.37 states/eV/atom
* raw total energy: -1.75 eV per atom
* offset from the most stable computed form: 84 meV/atom
* formation energy without anion corrections: 28 kJ/mol of atoms

```
Cd3Si
1.0
6.346 0.000 0.000
-3.173 5.495 0.000
0.000 0.000 4.907
Cd Si
6 2
direct
0.170 0.340 0.250
0.170 0.830 0.250
0.340 0.170 0.750
0.660 0.830 0.250
0.830 0.170 0.750
0.830 0.660 0.750
0.333 0.667 0.750
0.667 0.333 0.250
```



The following is a PBE calculation of a geometry-optimized La2YTl structure, from Alexandria via LeMat-Bulk.

Summary:
* space group: No. 123
* D(E_F): 1.75 states/eV/atom
* formation enthalpy at 0 K: -147 meV per atom
* raw total energy: -4.82 eV per atom
* offset from the most stable computed form: 72 meV/atom

```
La2YTl
1.0
3.765 0.000 0.000
0.000 3.765 0.000
0.000 0.000 9.535
La Y Tl
2 1 1
direct
0.000 0.000 0.229
0.000 0.000 0.771
0.500 0.500 0.500
0.500 0.500 0.000
```



- Number 6 is which compound?
  La2YTl



- Look up the raw total energy of the fifth one.
  -1.75 eV per atom